# 1
The following is a PBE calculation of Na2NdI5 after structural relaxation, from Alexandria via LeMat-Bulk.

Calculated values
N(E_F) = 0.00 states/eV/f.u.
Energy relative to the elements, uncorrected = -1.291 eV/atom
Size of the total moment = 0.0 μB per formula unit
Final energy = -0.1171 Ha/atom
Theoretical density = 4.44 Mg/m³

abc: 13.932 9.614 9.210
angles: 90.00 90.00 90.00
Space group Pnma (No. 62)
Unique sites:
Na 0.182 0.018 0.013 (multiplicity 8)
Nd 0.005 0.750 0.586 (multiplicity 4)
I 0.003 0.750 0.940 (multiplicity 4)
I 0.087 0.047 0.663 (multiplicity 8)
I 0.182 0.750 0.364 (multiplicity 4)
I 0.216 0.250 0.325 (multiplicity 4)

# 2
The following is a PBE calculation of Ce2SmPu3P6 after structural relaxation, from Alexandria via LeMat-Bulk.

Calculated values
N(E_F) = 30.28 states/eV/f.u.
Size of the total moment = 16.4 μB per formula unit
Final energy = -0.3312 Ha/atom
Theoretical density = 7.96 Mg/m³
ΔH_f (0 K) = -30.95 kcal/mol of atoms

abc: 7.025 12.167 6.987
angles: 90.00 109.58 90.00
Space group C2/m (No. 12)
Unique sites:
Ce 0.000 0.167 0.000 (multiplicity 4)
Sm 0.000 0.500 0.000 (multiplicity 2)
Pu 0.000 0.000 0.500 (multiplicity 2)
Pu 0.000 0.334 0.500 (multiplicity 4)
P 0.246 0.168 0.742 (multiplicity 8)
P 0.249 0.500 0.741 (multiplicity 4)

# 3
The following is a PBE calculation of Tb2Pm3Sn2 after structural relaxation, from Alexandria via LeMat-Bulk.

Calculated values
N(E_F) = 8.94 states/eV/f.u.
Size of the total moment = 0.1 μB per formula unit
Final energy = -0.1762 Ha/atom
Theoretical density = 7.53 Mg/m³
ΔH_f (0 K) = -6.71 kcal/mol of atoms

abc: 17.441 3.521 7.883
angles: 90.00 115.59 90.00
Space group C2/m (No. 12)
Unique sites:
Tb 0.088 0.000 0.200 (multiplicity 4)
Pm 0.000 0.000 0.500 (multiplicity 2)
Pm 0.221 0.000 0.713 (multiplicity 4)
Sn 0.103 0.500 0.882 (multiplicity 4)

# 4
The following is a PBE calculation of BaLaSe2 after structural relaxation, from Alexandria via LeMat-Bulk.

Calculated values
N(E_F) = 1.63 states/eV/f.u.
Energy above the lowest structure with this stoichiometry = 15.8 meV per atom
Energy relative to the elements, uncorrected = -1.976 eV/atom
Size of the total moment = 0.0 μB per formula unit
Final energy = -0.1996 Ha/atom
Theoretical density = 5.61 Mg/m³

abc: 4.4260 4.4260 15.1540
angles: 90.00 90.00 120.00
Space group P6_3/mmc (No. 194)
Unique sites:
Ba 0.3333 0.6667 0.2500 (multiplicity 2)
La 0.0000 0.0000 0.0000 (multiplicity 2)
Se 0.3333 0.6667 0.6120 (multiplicity 4)

# 5
The following is a PBE calculation of BaCo3Hg after structural relaxation, from Alexandria via LeMat-Bulk.

Calculated values
N(E_F) = 14.11 states/eV/f.u.
Energy above the lowest structure with this stoichiometry = 0.0 meV per atom
Size of the total moment = 5.3 μB per formula unit
Final energy = -0.1345 Ha/atom
Theoretical density = 6.95 Mg/m³
ΔH_f (0 K) = 24.19 kcal/mol of atoms

abc: 4.972 4.972 4.972
angles: 90.00 90.00 90.00
Space group Pm-3m (No. 221)
Unique sites:
Ba 0.000 0.000 0.000 (multiplicity 1)
Co 0.000 0.500 0.500 (multiplicity 3)
Hg 0.500 0.500 0.500 (multiplicity 1)

# 6
The following is a PBE calculation of CaLa2AlH after structural relaxation, from Alexandria via LeMat-Bulk.

Calculated values
N(E_F) = 5.01 states/eV/f.u.
Energy above the lowest structure with this stoichiometry = 0.0 meV per atom
Size of the total moment = 0.0 μB per formula unit
Final energy = -0.1484 Ha/atom
Theoretical density = 4.57 Mg/m³

abc: 4.992 4.992 5.044
angles: 90.00 90.00 90.00
Space group P4/mmm (No. 123)
Unique sites:
Ca 0.000 0.000 0.000 (multiplicity 1)
La 0.000 0.500 0.500 (multiplicity 2)
Al 0.500 0.500 0.000 (multiplicity 1)
H 0.000 0.000 0.500 (multiplicity 1)

# 7
The following is a PBE calculation of OsPbI2 after structural relaxation, from Alexandria via LeMat-Bulk.

Calculated values
N(E_F) = 4.78 states/eV/f.u.
Energy above the lowest structure with this stoichiometry = 708.2 meV per atom
Energy relative to the elements, uncorrected = 1.179 eV/atom
Size of the total moment = 2.3 μB per formula unit
Final energy = -0.1224 Ha/atom
Theoretical density = 10.03 Mg/m³

abc: 7.555 7.555 7.555
angles: 90.00 90.00 90.00
Space group Fm-3m (No. 225)
Unique sites:
Os 0.000 0.000 0.000 (multiplicity 4)
Pb 0.000 0.000 0.500 (multiplicity 4)
I 0.250 0.250 0.250 (multiplicity 8)

# 8
The following is a PBE calculation of Ba2In6HgGe after structural relaxation, from Alexandria via LeMat-Bulk.

Calculated values
N(E_F) = 6.09 states/eV/f.u.
Size of the total moment = 0.0 μB per formula unit
Final energy = -0.0993 Ha/atom
Theoretical density = 6.34 Mg/m³
ΔH_f (0 K) = -4.18 kcal/mol of atoms

abc: 6.242 9.497 10.922
angles: 90.00 90.00 90.00
Space group Pmmn (No. 59, origin choice 2)
Unique sites:
Ba 0.250 0.004 0.229 (multiplicity 4)
In 0.000 0.250 0.509 (multiplicity 4)
In 0.004 0.750 0.996 (multiplicity 4)
In 0.250 0.507 0.608 (multiplicity 4)
Hg 0.250 0.250 0.777 (multiplicity 2)
Ge 0.250 0.750 0.773 (multiplicity 2)